## K2CaFeO4 (PBE+U)

Data for a geometry-optimized K2CaFeO4 structure.

Structure (POSCAR):
```
K2CaFeO4
1.0
5.744 -0.061 -0.094
-2.503 5.170 0.094
-2.503 -1.994 4.771
K Ca Fe O
2 1 1 4
Direct
0.500 0.750 0.250
0.000 0.000 0.000
0.500 0.250 0.750
0.000 0.500 0.500
0.619 0.380 0.443
0.063 0.239 0.620
0.937 0.557 0.176
0.381 0.824 0.761
```

Output
Final energy (eV per atom): -5.426
Total magnetization (Bohr magnetons per cell): 4.0
Calculated volume (Å³/atom): 17.54